No. 1
# MoIr3S

A relaxed structure of MoIr3S (PBE-GGA, Alexandria via LeMat-Bulk).

It has space group Pm-3m (No. 221), with a = 4.7321 Å, b = 4.7321 Å, c = 4.7321 Å, α = 90.00°, β = 90.00° and γ = 90.00°. The distinct sites, in fractional coordinates, are Mo at (0.0000, 0.0000, 0.0000), Ir at (0.0000, 0.0000, 0.5000) and S at (0.5000, 0.5000, 0.5000).

The value obtained for the uncorrected formation energy is 1.992 eV/atom.



No. 2
# YAlZn

A relaxed structure of YAlZn (PBE-GGA, Alexandria via LeMat-Bulk).

It has space group Cm (No. 8), with a = 12.6656 Å, b = 3.8678 Å, c = 5.8314 Å, α = 90.00°, β = 116.93° and γ = 90.00°. The distinct sites, in fractional coordinates, are Y at (0.0000, 0.0000, 0.0000), Y at (0.1219, 0.5000, 0.6178), Al at (0.3058, 0.0000, 0.0529), Al at (0.4187, 0.5000, 0.4231), Zn at (0.1937, 0.5000, 0.1917) and Zn at (0.3099, 0.0000, 0.5693).

Its formation energy is -355 meV per atom.